PaTl2I7: optimized geometry, PBE-GGA.

Output
- final energy (eV/f.u.) = -32.84
- magnetic moment (μB per formula unit) = 0.000
- ΔE_f (raw) (eV/f.u.) = -7.76
- calculated volume (Å³/f.u.) = 537.2
- SG = C2/c, No. 15
- crystal system = monoclinic

abc: 9.326 12.497 11.020
angles: 85.65 64.96 68.09
Fractional coordinates of all 20 atoms:
Pa (0.954, 0.250, 0.750)
Pa (0.046, 0.750, 0.250)
Tl (0.694, 0.967, 0.650)
Tl (0.689, 0.467, 0.150)
Tl (0.311, 0.533, 0.850)
Tl (0.306, 0.033, 0.350)
I (0.729, 0.506, 0.832)
I (0.933, 0.006, 0.332)
I (0.214, 0.820, 0.974)
I (0.348, 0.175, 0.580)
I (0.624, 0.250, 0.750)
I (0.992, 0.320, 0.474)
I (0.102, 0.325, 0.920)
I (0.898, 0.675, 0.080)
I (0.008, 0.680, 0.526)
I (0.376, 0.750, 0.250)
I (0.652, 0.825, 0.420)
I (0.786, 0.180, 0.026)
I (0.067, 0.994, 0.668)
I (0.271, 0.494, 0.168)

TmPaI2: optimized geometry, PBE-GGA.

Output
- final energy (eV/f.u.) = -18.03
- magnetic moment (μB per formula unit) = 0.808
- ΔE_f (raw) (eV/f.u.) = -0.96
- calculated volume (Å³/f.u.) = 122.9
- SG = R-3m, No. 166
- crystal system = trigonal

abc: 3.626 3.626 10.996
angles: 80.51 80.51 60.00
Site moments in Bohr magnetons follow the coordinates.
Fractional coordinates of all 4 atoms:
I (0.098, 0.098, 0.707)  0.00
I (0.902, 0.902, 0.293)  0.00
Pa (0.000, 0.000, 0.000)  0.63
Tm (0.500, 0.500, 0.500)  0.02

TmPaI6: optimized geometry, PBE-GGA.

Output
- final energy (eV/f.u.) = -31.61
- magnetic moment (μB per formula unit) = 2.006
- ΔE_f (raw) (eV/f.u.) = -8.34
- calculated volume (Å³/f.u.) = 388.7
- SG = C2/m, No. 12
- crystal system = monoclinic

abc: 7.489 8.254 8.254
angles: 126.08 98.70 98.70
Site moments in Bohr magnetons follow the coordinates.
Fractional coordinates of all 8 atoms:
Tm (0.000, 0.000, 0.000)  0.16
Pa (0.500, 0.500, 0.500)  1.65
I (0.758, 0.610, 0.906)  -0.01
I (0.758, 0.906, 0.610)  -0.01
I (0.242, 0.094, 0.390)  -0.01
I (0.242, 0.390, 0.094)  -0.01
I (0.754, 0.247, 0.247)  -0.01
I (0.246, 0.753, 0.753)  -0.01

Question: Number 3 is which compound?
Answer: TmPaI6

Question: final energy of number 3 (TmPaI6)?
Answer: -31.61 eV/f.u.

Question: The lowest ΔE_f (raw) belongs to which entry?
Answer: TmPaI6

Question: final energy of number 3 (TmPaI6)?
Answer: -31.61 eV/f.u.